No. 1
VASP calculation (PBE) on a relaxed HoTm2Ga crystal.

Cell and atoms, written as POSCAR:
```
HoTm2Ga
1.0
-2.012 0.277 -4.211
-4.189 -0.634 1.960
-0.455 4.616 0.521
Tm Ho Ga
2 1 1
Cartesian
-0.228 2.308 0.261
-2.094 -0.317 0.980
-3.328 2.130 -0.865
-1.006 0.139 -2.105
```

## Properties
magnetization = 0.00 μB per atom
energy above the lowest structure with this stoichiometry = 44.5 meV/atom
VASP energy = -4.3788 eV/atom
DOS at the Fermi energy = 4.87 states/eV/f.u.
SG = P4/mmm (123)
energy relative to the elements = -0.242 eV/atom

---

No. 2
VASP calculation (PBE) on a relaxed ZrFeAgAs2 crystal.

Cell and atoms, written as POSCAR:
```
ZrFeAgAs2
1.0
-3.077 -1.160 -3.071
-1.072 -3.949 2.565
-3.128 2.316 2.259
As Zr Ag Fe
2 1 1 1
Cartesian
-1.564 1.158 1.130
-1.539 -0.580 -1.536
-3.638 -1.396 0.876
-0.536 -1.975 1.282
0.000 0.000 0.000
```

## Properties
magnetization = 0.40 μB per atom
VASP energy = -5.4975 eV/atom
DOS at the Fermi energy = 5.95 states/eV/f.u.
SG = P4/mmm (123)
energy relative to the elements = 0.335 eV/atom